[1]
A relaxed Na4Nd3ScO8 crystal, computed with PBE.

abc: 6.991 6.913 6.991
angles: 120.39 120.00 90.00
Element x y z (fractional)
O: 0.226 0.711 0.452
O: 0.260 0.280 0.520
O: 0.242 0.289 0.015
O: 0.740 0.720 0.480
O: 0.758 0.711 0.985
O: 0.226 0.711 0.985
O: 0.774 0.289 0.548
O: 0.774 0.289 0.015
Na: 0.500 0.000 0.500
Na: 0.000 0.000 0.500
Na: 0.000 0.000 0.000
Na: 0.500 0.000 0.000
Nd: 0.000 0.500 0.500
Nd: 0.500 0.500 0.000
Nd: 0.500 0.500 0.500
Sc: 0.000 0.500 0.000

Computed properties:
theoretical density	4.9	g/cm³

***

[2]
A relaxed Na3NdSe4O12 crystal, computed with PBE.

abc: 7.166 7.166 7.166
angles: 106.38 106.38 106.38
Element x y z (fractional)
O: 0.643 0.500 0.357
O: 0.790 0.986 0.663
O: 0.067 0.933 0.500
O: 0.933 0.500 0.067
O: 0.210 0.337 0.014
O: 0.357 0.643 0.500
O: 0.500 0.067 0.933
O: 0.337 0.014 0.210
O: 0.663 0.790 0.986
O: 0.500 0.357 0.643
O: 0.986 0.663 0.790
O: 0.014 0.210 0.337
Se: 0.500 0.500 0.500
Se: 0.500 0.921 0.079
Se: 0.079 0.500 0.921
Se: 0.921 0.079 0.500
Nd: 0.000 0.000 0.000
Na: 0.437 0.000 0.563
Na: 0.000 0.563 0.437
Na: 0.563 0.437 0.000

Computed properties:
theoretical density	3.8	g/cm³

***

[3]
A relaxed Na2NdSe2O6 crystal, computed with PBE.

abc: 5.830 5.163 7.072
angles: 109.67 90.00 124.38
Element x y z (fractional)
Nd: 0.500 0.000 0.500
Na: 0.303 0.606 0.887
Na: 0.697 0.394 0.113
O: 0.207 0.413 0.503
O: 0.793 0.587 0.497
O: 0.711 0.906 0.207
O: 0.805 0.094 0.793
O: 0.195 0.906 0.207
O: 0.289 0.094 0.793
Se: 0.091 0.182 0.235
Se: 0.909 0.818 0.765

Computed properties:
theoretical density	4.6	g/cm³

***

no.,ΔE_f (raw) (kJ per mole of atoms)
1,-253.3
2,-100.6
3,-146.2